Material: U3Co
Method: DFT, GGA-PBE
State: optimized geometry

Values from the calculation:
Crystal system: cubic
Energy of formation from the pure elements: 0.39 eV per atom

CIF file:
```
data_U3Co
_space_group_name_H-M_alt 'P m -3 m'
_space_group_IT_number 221
_space_group_name_Hall '-P 4 2 3'
_cell_length_a 4.183
_cell_length_b 4.183
_cell_length_c 4.183
_cell_angle_alpha 90.00
_cell_angle_beta 90.00
_cell_angle_gamma 90.00
loop_
_atom_site_label
_atom_site_type_symbol
_atom_site_fract_x
_atom_site_fract_y
_atom_site_fract_z
U1 U 0.000 0.000 0.500
Co1 Co 0.500 0.500 0.500
```

Material: PmScB4
Method: DFT, GGA-PBE
State: optimized geometry

Values from the calculation:
Crystal system: orthorhombic
Electronic total energy: -81.6 eV/cell

CIF file:
```
data_PmScB4
_space_group_name_H-M_alt 'I m m m'
_space_group_IT_number 71
_space_group_name_Hall '-I 2 2'
_cell_length_a 3.247
_cell_length_b 5.629
_cell_length_c 7.688
_cell_angle_alpha 90.00
_cell_angle_beta 90.00
_cell_angle_gamma 90.00
loop_
_atom_site_label
_atom_site_type_symbol
_atom_site_fract_x
_atom_site_fract_y
_atom_site_fract_z
Pm1 Pm 0.000 0.000 0.000
Sc1 Sc 0.000 0.000 0.500
B1 B 0.000 0.334 0.247
```

Material: Nd3Tm3NiTe2
Method: DFT, GGA-PBE
State: optimized geometry

Values from the calculation:
Crystal system: hexagonal
Electronic total energy: -45.1 eV/cell

CIF file:
```
data_Nd3Tm3NiTe2
_space_group_name_H-M_alt 'P -6 2 m'
_space_group_IT_number 189
_space_group_name_Hall 'P -6 -2'
_cell_length_a 8.5610
_cell_length_b 8.5610
_cell_length_c 3.8671
_cell_angle_alpha 90.00
_cell_angle_beta 90.00
_cell_angle_gamma 120.00
loop_
_atom_site_label
_atom_site_type_symbol
_atom_site_fract_x
_atom_site_fract_y
_atom_site_fract_z
Nd1 Nd 0.0000 0.7562 0.0000
Tm1 Tm 0.0000 0.4069 0.5000
Ni1 Ni 0.0000 0.0000 0.5000
Te1 Te 0.3333 0.6667 0.0000
```

Material: Na6TlHg
Method: DFT, GGA-PBE
State: optimized geometry

Values from the calculation:
Crystal system: hexagonal
Electronic total energy: -11.4 eV/cell

CIF file:
```
data_Na6TlHg
_space_group_name_H-M_alt 'P -6 m 2'
_space_group_IT_number 187
_space_group_name_Hall 'P -6 2'
_cell_length_a 6.8432
_cell_length_b 6.8432
_cell_length_c 5.5299
_cell_angle_alpha 90.00
_cell_angle_beta 90.00
_cell_angle_gamma 120.00
loop_
_atom_site_label
_atom_site_type_symbol
_atom_site_fract_x
_atom_site_fract_y
_atom_site_fract_z
Na1 Na 0.0122 0.5061 0.0000
Na2 Na 0.3217 0.1608 0.5000
Tl1 Tl 0.3333 0.6667 0.5000
Hg1 Hg 0.0000 0.0000 0.0000
```

Material: AcNbGa
Method: DFT, GGA-PBE
State: optimized geometry

Values from the calculation:
Crystal system: cubic
Electronic total energy: -55.4 eV/cell

CIF file:
```
data_AcNbGa
_space_group_name_H-M_alt 'F -4 3 m'
_space_group_IT_number 216
_space_group_name_Hall 'F -4 2 3'
_cell_length_a 7.255
_cell_length_b 7.255
_cell_length_c 7.255
_cell_angle_alpha 90.00
_cell_angle_beta 90.00
_cell_angle_gamma 90.00
loop_
_atom_site_label
_atom_site_type_symbol
_atom_site_fract_x
_atom_site_fract_y
_atom_site_fract_z
Ac1 Ac 0.000 0.000 0.000
Nb1 Nb 0.250 0.250 0.250
Ga1 Ga 0.250 0.250 0.750
```

Material: MgCuSiIr
Method: DFT, GGA-PBE
State: optimized geometry

Values from the calculation:
Crystal system: cubic
Electronic total energy: -82.6 eV/cell

CIF file:
```
data_MgCuSiIr
_space_group_name_H-M_alt 'F -4 3 m'
_space_group_IT_number 216
_space_group_name_Hall 'F -4 2 3'
_cell_length_a 6.021
_cell_length_b 6.021
_cell_length_c 6.021
_cell_angle_alpha 90.00
_cell_angle_beta 90.00
_cell_angle_gamma 90.00
loop_
_atom_site_label
_atom_site_type_symbol
_atom_site_fract_x
_atom_site_fract_y
_atom_site_fract_z
Mg1 Mg 0.000 0.000 0.000
Cu1 Cu 0.250 0.250 0.750
Si1 Si 0.000 0.000 0.500
Ir1 Ir 0.250 0.250 0.250
```